Below is a relaxed BeFeCu2 crystal, with properties calculated at the GGA-PBE level.

Cell lengths 4.144, 4.144, 2.595 Å; angles 90.00, 90.00, 90.00 degrees
Element x y z (fractional)
Be: 0.000 0.000 0.000
Fe: 0.500 0.500 0.000
Cu: 0.000 0.500 0.500
Cu: 0.500 0.000 0.500

Final energy: -19.7 eV for the cell shown
Energy of formation: 0.1639 eV/atom

***

Below is a relaxed YCd2SbO6 crystal, with properties calculated at the GGA-PBE level.

Cell lengths 5.911, 5.911, 5.911 Å; angles 57.26, 57.26, 57.26 degrees
Element x y z (fractional)
Y: 0.000 0.000 0.000
Cd: 0.222 0.222 0.222
Cd: 0.728 0.728 0.728
Sb: 0.506 0.506 0.506
O: 0.159 0.385 0.757
O: 0.296 0.856 0.622
O: 0.385 0.757 0.159
O: 0.622 0.296 0.856
O: 0.757 0.159 0.385
O: 0.856 0.622 0.296

Final energy: -60.7 eV for the cell shown
Raw formation energy: -1.85 eV/atom

***

Below is a relaxed LuB2W crystal, with properties calculated at the GGA-PBE level.

Cell lengths 5.918, 5.918, 5.918 Å; angles 32.69, 32.69, 32.69 degrees
Element x y z (fractional)
Lu: 0.000 0.000 0.000
B: 0.237 0.237 0.237
B: 0.763 0.763 0.763
W: 0.500 0.500 0.500

Final energy: -31.5 eV for the cell shown
Energy of formation: -0.1646 eV/atom

***

Below is a relaxed CaPt2 crystal, with properties calculated at the GGA-PBE level.

Cell lengths 7.932, 7.932, 4.789 Å; angles 90.00, 90.00, 158.45 degrees
Element x y z (fractional)
Ca: 0.106 0.894 0.750
Ca: 0.894 0.106 0.250
Pt: 0.229 0.771 0.250
Pt: 0.438 0.562 0.750
Pt: 0.562 0.438 0.250
Pt: 0.771 0.229 0.750

Final energy: -31.3 eV for the cell shown
Energy of formation: -0.5304 eV/atom

***

Below is a relaxed Sr2SnBiSe5 crystal, with properties calculated at the GGA-PBE level.

Cell lengths 9.563, 9.563, 12.969 Å; angles 90.00, 90.00, 153.32 degrees
Element x y z (fractional)
Sr: 0.109 0.891 0.500
Sr: 0.130 0.870 0.133
Sr: 0.870 0.130 0.633
Sr: 0.891 0.109 0.000
Sn: 0.449 0.551 0.273
Sn: 0.551 0.449 0.773
Bi: 0.218 0.782 0.847
Bi: 0.782 0.218 0.347
Se: 0.051 0.949 0.894
Se: 0.277 0.723 0.498
Se: 0.314 0.686 0.188
Se: 0.367 0.633 0.820
Se: 0.494 0.506 0.586
Se: 0.506 0.494 0.086
Se: 0.633 0.367 0.320
Se: 0.686 0.314 0.688
Se: 0.723 0.277 0.998
Se: 0.949 0.051 0.394

Final energy: -76.9 eV for the cell shown
Raw formation energy: -1.09 eV/atom

***

Below is a relaxed BaCdTc crystal, with properties calculated at the GGA-PBE level.

Cell lengths 5.118, 5.118, 5.118 Å; angles 60.00, 60.00, 60.00 degrees
Element x y z (fractional)
Ba: 0.000 0.000 0.000
Cd: 0.500 0.500 0.500
Tc: 0.250 0.250 0.250

Final energy: -10.5 eV for the cell shown
Energy of formation: 0.9048 eV/atom
ΔE to the lowest computed polymorph: 238.4 meV per atom

***

Below is a relaxed Hg2TeRh crystal, with properties calculated at the GGA-PBE level.

Cell lengths 5.636, 5.636, 5.636 Å; angles 136.40, 136.40, 63.36 degrees
Element x y z (fractional)
Hg: 0.250 0.750 0.500
Hg: 0.750 0.250 0.500
Te: 0.000 0.000 0.000
Rh: 0.500 0.500 0.000

Final energy: -10.0 eV for the cell shown
ΔE to the lowest computed polymorph: 368.9 meV per atom
Raw formation energy: 0.28 eV/atom

***

Below is a relaxed CeSiRu2 crystal, with properties calculated at the GGA-PBE level.

Cell lengths 8.783, 8.783, 8.783 Å; angles 19.31, 19.31, 19.31 degrees
Element x y z (fractional)
Ce: 0.000 0.000 0.000
Si: 0.500 0.500 0.500
Ru: 0.234 0.234 0.234
Ru: 0.766 0.766 0.766

Final energy: -30.4 eV for the cell shown
Raw formation energy: -0.11 eV/atom

***

Below is a relaxed NaTmIn2Br6 crystal, with properties calculated at the GGA-PBE level.

Cell lengths 7.993, 7.993, 7.993 Å; angles 59.21, 59.21, 59.21 degrees
Element x y z (fractional)
Na: 0.000 0.000 0.000
Tm: 0.494 0.494 0.494
In: 0.282 0.282 0.282
In: 0.787 0.787 0.787
Br: 0.164 0.713 0.346
Br: 0.244 0.652 0.815
Br: 0.346 0.164 0.713
Br: 0.652 0.815 0.244
Br: 0.713 0.346 0.164
Br: 0.815 0.244 0.652

Final energy: -34.5 eV for the cell shown
Raw formation energy: -1.32 eV/atom

***

Below is a relaxed Rb2Sn2Ru crystal, with properties calculated at the GGA-PBE level.

Cell lengths 7.134, 7.134, 6.248 Å; angles 90.00, 90.00, 90.00 degrees
Element x y z (fractional)
Rb: 0.170 0.330 0.000
Rb: 0.330 0.830 0.000
Rb: 0.670 0.170 0.000
Rb: 0.830 0.670 0.000
Sn: 0.179 0.679 0.500
Sn: 0.321 0.179 0.500
Sn: 0.679 0.821 0.500
Sn: 0.821 0.321 0.500
Ru: 0.000 0.000 0.500
Ru: 0.500 0.500 0.500

Final energy: -36.5 eV for the cell shown
Energy of formation: 0.1975 eV/atom

***

Below is a relaxed TbYTlO crystal, with properties calculated at the GGA-PBE level.

Cell lengths 7.450, 7.450, 7.450 Å; angles 151.57, 151.45, 40.73 degrees
Element x y z (fractional)
Tb: 0.000 0.000 0.000
Y: 0.314 0.314 0.000
Tl: 0.657 0.657 0.000
O: 0.407 0.907 0.500

Final energy: -25.0 eV for the cell shown
Raw formation energy: -1.65 eV/atom

***

Below is a relaxed Mo3Pb crystal, with properties calculated at the GGA-PBE level.

Cell lengths 4.121, 4.121, 4.121 Å; angles 90.00, 90.00, 90.00 degrees
Element x y z (fractional)
Mo: 0.000 0.000 0.500
Mo: 0.000 0.500 0.000
Mo: 0.500 0.000 0.000
Pb: 0.500 0.500 0.500

Final energy: -33.6 eV for the cell shown
Energy of formation: 0.6494 eV/atom

***

Below is a relaxed Ac8AsRu3Cl4 crystal, with properties calculated at the GGA-PBE level.

Cell lengths 9.340, 9.340, 9.340 Å; angles 56.06, 56.06, 56.06 degrees
Element x y z (fractional)
Ac: 0.217 0.742 0.742
Ac: 0.238 0.238 0.238
Ac: 0.258 0.258 0.783
Ac: 0.258 0.783 0.258
Ac: 0.742 0.217 0.742
Ac: 0.742 0.742 0.217
Ac: 0.762 0.762 0.762
Ac: 0.783 0.258 0.258
As: 0.500 0.500 0.500
Ru: 0.000 0.000 0.500
Ru: 0.000 0.500 0.000
Ru: 0.500 0.000 0.000
Cl: 0.000 0.000 0.000
Cl: 0.000 0.500 0.500
Cl: 0.500 0.000 0.500
Cl: 0.500 0.500 0.000

Final energy: -89.8 eV for the cell shown
Raw formation energy: -1.06 eV/atom

***

Below is a relaxed Tl3InBi2Se6 crystal, with properties calculated at the GGA-PBE level.

Cell lengths 7.338, 7.338, 8.049 Å; angles 98.78, 98.78, 119.91 degrees
Element x y z (fractional)
Tl: 0.000 0.000 0.000
Tl: 0.330 0.670 0.000
Tl: 0.670 0.330 0.000
In: 0.500 0.500 0.500
Bi: 0.166 0.834 0.500
Bi: 0.834 0.166 0.500
Se: 0.114 0.431 0.292
Se: 0.254 0.254 0.713
Se: 0.431 0.114 0.292
Se: 0.569 0.886 0.708
Se: 0.746 0.746 0.287
Se: 0.886 0.569 0.708

Final energy: -44.1 eV for the cell shown
Raw formation energy: -0.47 eV/atom

***

Below is a relaxed YThF crystal, with properties calculated at the GGA-PBE level.

Cell lengths 3.629, 3.629, 10.965 Å; angles 90.00, 90.00, 90.00 degrees
Element x y z (fractional)
Y: 0.250 0.250 0.146
Y: 0.750 0.750 0.854
Th: 0.250 0.250 0.613
Th: 0.750 0.750 0.387
F: 0.250 0.750 0.000
F: 0.750 0.250 0.000

Final energy: -41.6 eV for the cell shown
Raw formation energy: -1.69 eV/atom

***

Below is a relaxed La2SbAsCl crystal, with properties calculated at the GGA-PBE level.

Cell lengths 6.076, 6.076, 5.086 Å; angles 90.00, 90.00, 90.00 degrees
Element x y z (fractional)
La: 0.000 0.500 0.000
La: 0.500 0.000 0.000
Sb: 0.000 0.000 0.000
As: 0.500 0.500 0.500
Cl: 0.000 0.000 0.500

Final energy: -22.1 eV for the cell shown
Raw formation energy: -0.33 eV/atom

***

Below is a relaxed Ba2AlF7 crystal, with properties calculated at the GGA-PBE level.

Cell lengths 7.435, 7.435, 8.848 Å; angles 124.02, 124.02, 68.19 degrees
Element x y z (fractional)
Ba: 0.001 0.314 0.219
Ba: 0.314 0.001 0.719
Ba: 0.686 0.999 0.281
Ba: 0.999 0.686 0.781
Al: 0.413 0.587 0.250
Al: 0.587 0.413 0.750
F: 0.050 0.218 0.497
F: 0.199 0.609 0.288
F: 0.218 0.050 0.997
F: 0.268 0.429 0.974
F: 0.375 0.625 0.750
F: 0.391 0.801 0.212
F: 0.429 0.268 0.474
F: 0.571 0.732 0.526
F: 0.609 0.199 0.788
F: 0.625 0.375 0.250
F: 0.732 0.571 0.026
F: 0.782 0.950 0.003
F: 0.801 0.391 0.712
F: 0.950 0.782 0.503

Final energy: -116.1 eV for the cell shown
Raw formation energy: -3.74 eV/atom

***

Below is a relaxed RbMnPt crystal, with properties calculated at the GGA-PBE level.

Cell lengths 6.685, 6.685, 5.543 Å; angles 90.00, 90.00, 141.36 degrees
Element x y z (fractional)
Rb: 0.233 0.767 0.750
Rb: 0.767 0.233 0.250
Mn: 0.500 0.500 0.000
Mn: 0.500 0.500 0.500
Pt: 0.019 0.981 0.250
Pt: 0.981 0.019 0.750

Final energy: -31.8 eV for the cell shown
Energy of formation: 0.0856 eV/atom
ΔE to the lowest computed polymorph: 53.1 meV per atom

***

Below is a relaxed PHPt6 crystal, with properties calculated at the GGA-PBE level.

Cell lengths 4.765, 4.765, 6.220 Å; angles 91.62, 91.62, 120.03 degrees
Element x y z (fractional)
P: 0.000 0.000 0.000
H: 0.500 0.500 0.500
Pt: 0.086 0.746 0.282
Pt: 0.254 0.914 0.718
Pt: 0.423 0.423 0.225
Pt: 0.577 0.577 0.775
Pt: 0.746 0.086 0.282
Pt: 0.914 0.254 0.718

Final energy: -45.5 eV for the cell shown

***

Below is a relaxed ScBeOs crystal, with properties calculated at the GGA-PBE level.

Cell lengths 3.135, 3.135, 5.389 Å; angles 90.00, 90.00, 120.00 degrees
Element x y z (fractional)
Sc: 0.000 0.000 0.000
Be: 0.333 0.667 0.378
Os: 0.667 0.333 0.627

Final energy: -21.0 eV for the cell shown
Energy of formation: 0.1066 eV/atom